Record 1
## NaZr3Br (PBE)

Data for a geometry-optimized NaZr3Br structure.

The calculation puts the volume at 27.00 Å³ per atom. The density of states at the Fermi level is 6.2 states/eV per cell. Its raw formation energy is 1460 meV/atom.

The space group is Pm-3m (No. 221) and the conventional cell measures 5.1299, 5.1299 and 5.1299 Å, with angles of 90.00, 90.00 and 90.00 degrees. The distinct sites, in fractional coordinates, are Na at (0.0000, 0.0000, 0.0000), Zr at (0.0000, 0.0000, 0.5000) and Br at (0.5000, 0.5000, 0.5000).

Record 2
## In4AgW (PBE)

Data for a geometry-optimized In4AgW structure.

The calculation puts the volume at 22.10 Å³ per atom. The density of states at the Fermi level is 20.3 states/eV per cell. As for the energy of formation from the pure elements: 20.9 kcal/mol of atoms.

The space group is F-43m (No. 216) and the conventional cell measures 8.0949, 8.0949 and 8.0949 Å, with angles of 90.00, 90.00 and 90.00 degrees. The distinct sites, in fractional coordinates, are In at (0.1250, 0.1250, 0.1250), Ag at (0.0000, 0.0000, 0.5000) and W at (0.2500, 0.2500, 0.7500).

Record 3
## Pd2RhPb (PBE)

Data for a geometry-optimized Pd2RhPb structure.

The calculation puts the volume at 18.44 Å³ per atom. The density of states at the Fermi level is 16.7 states/eV per cell. As for the energy of formation from the pure elements: 3.2 kcal/mol of atoms.

The space group is I-42d (No. 122) and the conventional cell measures 3.8796, 3.8796 and 19.6050 Å, with angles of 90.00, 90.00 and 90.00 degrees. The distinct sites, in fractional coordinates, are Pd at (0.2408, 0.2500, 0.1250), Rh at (0.0000, 0.0000, 0.0000) and Pb at (0.0000, 0.0000, 0.5000).

Record 4
## CeAl2GaGe (PBE)

Data for a geometry-optimized CeAl2GaGe structure.

The calculation puts the volume at 24.70 Å³ per atom. The density of states at the Fermi level is 5.2 states/eV per cell. As for the energy of formation from the pure elements: -4.2 kcal/mol of atoms.

The space group is P4mm (No. 99) and the conventional cell measures 4.1937, 4.1937 and 7.0231 Å, with angles of 90.00, 90.00 and 90.00 degrees. The distinct sites, in fractional coordinates, are Ce at (0.0000, 0.0000, 0.0000), Al at (0.0000, 0.5000, 0.3456), Ga at (0.0000, 0.0000, 0.5618) and Ge at (0.5000, 0.5000, 0.0811).

Record 5
## LaPm2YN4 (PBE)

Data for a geometry-optimized LaPm2YN4 structure.

The calculation puts the volume at 16.75 Å³ per atom. The density of states at the Fermi level is 0.9 states/eV per cell. Its raw formation energy is -1442 meV/atom.

The space group is P2/m (No. 10) and the conventional cell measures 6.2641, 3.6176 and 6.2705 Å, with angles of 90.00, 109.40 and 90.00 degrees. The distinct sites, in fractional coordinates, are La at (0.0000, 0.0000, 0.0000), Pm at (0.5000, 0.0000, 0.5000), Pm at (0.5000, 0.5000, 0.0000), Y at (0.0000, 0.5000, 0.5000), N at (0.2472, 0.0000, 0.7434) and N at (0.2520, 0.5000, 0.2571).

Record 6
## Pa2CuSi4Ir3 (PBE)

Data for a geometry-optimized Pa2CuSi4Ir3 structure.

The calculation puts the volume at 16.77 Å³ per atom. The density of states at the Fermi level is 6.5 states/eV per cell. Its raw formation energy is -844 meV/atom.

The space group is P-4m2 (No. 115) and the conventional cell measures 4.1276, 4.1276 and 9.8433 Å, with angles of 90.00, 90.00 and 90.00 degrees. The distinct sites, in fractional coordinates, are Pa at (0.0000, 0.5000, 0.2503), Cu at (0.0000, 0.0000, 0.5000), Si at (0.0000, 0.0000, 0.0000), Si at (0.0000, 0.5000, 0.6309), Si at (0.5000, 0.5000, 0.0000), Ir at (0.0000, 0.5000, 0.8716) and Ir at (0.5000, 0.5000, 0.5000).